# 1
In2CoPdAu: optimized geometry, PBE.

Properties
Energy above the lowest structure with this stoichiometry ... 0.000 eV/atom
Crystal system ... tetragonal

a = 5.1277 Å, b = 5.1277 Å, c = 4.7929 Å
α = 90.00°, β = 90.00°, γ = 90.00°
Last column: nearest neighbours and their distance in Å.
Atoms (fractional coordinates):
In  0.0000  0.5000  0.0000  2 Au 2.56
In  0.5000  0.0000  0.0000  2 Au 2.56
Co  0.0000  0.0000  0.5000  2 Au 2.40
Pd  0.5000  0.5000  0.5000  8 In 3.51, 4 Co 3.63
Au  0.0000  0.0000  0.0000  2 Co 2.40, 4 In 2.56

***

# 2
In2CoPdAu: optimized geometry, PBE.

Properties
Energy above the lowest structure with this stoichiometry ... 0.139 eV/atom
Crystal system ... tetragonal

a = 5.1314 Å, b = 5.1314 Å, c = 5.1294 Å
α = 90.00°, β = 90.00°, γ = 90.00°
Last column: nearest neighbours and their distance in Å.
Atoms (fractional coordinates):
In  0.0000  0.5000  0.0000  2 Au 2.57
In  0.5000  0.0000  0.0000  2 Au 2.57
Co  0.0000  0.0000  0.5000  8 In 3.63, 4 Pd 3.63
Pd  0.5000  0.5000  0.5000  2 Au 2.56
Au  0.5000  0.5000  0.0000  2 Pd 2.56, 4 In 2.57

***

# 3
InCoPt2Au: optimized geometry, PBE.

Properties
Crystal system ... tetragonal

a = 5.0458 Å, b = 5.0458 Å, c = 4.9570 Å
α = 90.00°, β = 90.00°, γ = 90.00°
Last column: nearest neighbours and their distance in Å.
Atoms (fractional coordinates):
In  0.0000  0.0000  0.0000  2 Au 2.48
Co  0.5000  0.5000  0.0000  8 Pt 3.54, 4 In 3.57
Pt  0.0000  0.5000  0.5000  2 Au 2.52
Pt  0.5000  0.0000  0.5000  2 Au 2.52
Au  0.0000  0.0000  0.5000  2 In 2.48, 4 Pt 2.52

***

# 4
InCoSn2Au: optimized geometry, PBE.

Properties
Crystal system ... tetragonal

a = 4.8493 Å, b = 4.8493 Å, c = 4.9634 Å
α = 90.00°, β = 90.00°, γ = 90.00°
Last column: nearest neighbours and their distance in Å.
Atoms (fractional coordinates):
In  0.0000  0.0000  0.0000  2 Co 2.48
Co  0.0000  0.0000  0.5000  4 Sn 2.42, 2 In 2.48
Sn  0.0000  0.5000  0.5000  2 Co 2.42
Sn  0.5000  0.0000  0.5000  2 Co 2.42
Au  0.5000  0.5000  0.0000  4 In 3.43, 8 Sn 3.47

***

# 5
ThInCoAu: optimized geometry, PBE.

Properties
Crystal system ... cubic

a = 4.9268 Å, b = 4.9268 Å, c = 4.9268 Å
α = 60.00°, β = 60.00°, γ = 60.00°
Last column: nearest neighbours and their distance in Å.
Atoms (fractional coordinates):
Th  0.0000  0.0000  0.0000  4 Co 3.02, 4 Au 3.02
In  0.5000  0.5000  0.5000  4 Co 3.02, 4 Au 3.02
Co  0.7500  0.7500  0.7500  4 Th 3.02, 4 In 3.02
Au  0.2500  0.2500  0.2500  4 In 3.02, 4 Th 3.02

***

# 6
Tl2InCoAu: optimized geometry, PBE.

Properties
Crystal system ... tetragonal

a = 5.4948 Å, b = 5.4948 Å, c = 4.9328 Å
α = 90.00°, β = 90.00°, γ = 90.00°
Last column: nearest neighbours and their distance in Å.
Atoms (fractional coordinates):
Tl  0.0000  0.5000  0.0000  2 Au 2.75
Tl  0.5000  0.0000  0.0000  2 Au 2.75
In  0.0000  0.0000  0.5000  8 Tl 3.69, 4 Co 3.89
Co  0.5000  0.5000  0.5000  2 Au 2.47
Au  0.5000  0.5000  0.0000  2 Co 2.47, 4 Tl 2.75

***

Number 1: formation energy 772.9 meV per atom. Number 2: formation energy 911.7 meV per atom. Number 3: formation energy 1354.7 meV per atom. Number 4: formation energy 49.5 meV per atom. Number 5: formation energy -243.5 meV per atom. Number 6: formation energy 643.2 meV per atom.